Record 1
Compound: CdCo2Te
Source: the Alexandria database
Functional: GGA-PBE
Structure: relaxed

- symmetry = R-3m (166)
- energy above the lowest structure with this stoichiometry (eV per formula unit) = 0.89

Structure (POSCAR):
```
CdCo2Te
1.0
3.220 0.000 0.000
-1.610 2.789 0.000
0.000 0.000 22.470
Cd Co Te
3 6 3
Direct
0.000 0.000 0.000
0.333 0.667 0.667
0.667 0.333 0.333
0.000 0.000 0.242
0.000 0.000 0.758
0.333 0.667 0.424
0.333 0.667 0.909
0.667 0.333 0.091
0.667 0.333 0.576
0.000 0.000 0.500
0.333 0.667 0.167
0.667 0.333 0.833
```



Record 2
Compound: V2CdCoTe
Source: the Alexandria database
Functional: GGA-PBE
Structure: relaxed

- symmetry = P4/mmm (123)
- total energy (hartree per atom) = -0.1945

Structure (POSCAR):
```
V2CdCoTe
1.0
4.498 0.000 0.000
0.000 4.498 0.000
0.000 0.000 4.888
V Cd Co Te
2 1 1 1
Direct
0.000 0.500 0.000
0.500 0.000 0.000
0.000 0.000 0.500
0.000 0.000 0.000
0.500 0.500 0.500
```



Record 3
Compound: Th2Cd3Co2
Source: the Alexandria database
Functional: GGA-PBE
Structure: relaxed

- symmetry = Cmmm (65)
- ΔE_f (eV/f.u.) = -1.85

Structure (POSCAR):
```
Th2Cd3Co2
1.0
3.873 0.000 0.000
0.000 21.277 0.000
0.000 0.000 3.707
Th Cd Co
4 6 4
Direct
0.000 0.177 0.000
0.000 0.823 0.000
0.500 0.323 0.000
0.500 0.677 0.000
0.000 0.000 0.000
0.000 0.427 0.500
0.000 0.573 0.500
0.500 0.073 0.500
0.500 0.500 0.000
0.500 0.927 0.500
0.000 0.298 0.500
0.000 0.702 0.500
0.500 0.202 0.500
0.500 0.798 0.500
```



Record 4
Compound: Th3Cd3Co
Source: the Alexandria database
Functional: GGA-PBE
Structure: relaxed

- symmetry = Fd-3m (227)
- ΔE_f (eV/f.u.) = -1.67

Structure (POSCAR):
```
Th3Cd3Co
1.0
0.000 7.119 7.119
7.119 0.000 7.119
7.119 7.119 0.000
Th Cd Co
12 12 4
Direct
0.072 0.072 0.678
0.072 0.678 0.072
0.072 0.678 0.678
0.322 0.322 0.928
0.322 0.928 0.322
0.322 0.928 0.928
0.678 0.072 0.072
0.678 0.072 0.678
0.678 0.678 0.072
0.928 0.322 0.322
0.928 0.322 0.928
0.928 0.928 0.322
0.000 0.500 0.500
0.295 0.295 0.295
0.295 0.295 0.615
0.295 0.615 0.295
0.385 0.705 0.705
0.500 0.000 0.500
0.500 0.500 0.000
0.500 0.500 0.500
0.615 0.295 0.295
0.705 0.385 0.705
0.705 0.705 0.385
0.705 0.705 0.705
0.000 0.000 0.000
0.000 0.000 0.500
0.000 0.500 0.000
0.500 0.000 0.000
```



Record 5
Compound: Th3CdCo
Source: the Alexandria database
Functional: GGA-PBE
Structure: relaxed

- symmetry = Pm-3m (221)
- ΔE_f (eV/f.u.) = -0.28

Structure (POSCAR):
```
Th3CdCo
1.0
5.267 0.000 0.000
0.000 5.267 0.000
0.000 0.000 5.267
Th Cd Co
3 1 1
Direct
0.000 0.000 0.500
0.000 0.500 0.000
0.500 0.000 0.000
0.500 0.500 0.500
0.000 0.000 0.000
```



Record 6
Compound: TiCd2Co
Source: the Alexandria database
Functional: GGA-PBE
Structure: relaxed

- symmetry = Fm-3m (225)
- ΔE_f (eV/f.u.) = 0.92
- energy above the lowest structure with this stoichiometry (eV per formula unit) = 0.00

Structure (POSCAR):
```
TiCd2Co
1.0
6.433 0.000 0.000
0.000 6.433 0.000
0.000 0.000 6.433
Ti Cd Co
4 8 4
Direct
0.000 0.000 0.000
0.000 0.500 0.500
0.500 0.000 0.500
0.500 0.500 0.000
0.250 0.250 0.250
0.250 0.250 0.750
0.250 0.750 0.250
0.250 0.750 0.750
0.750 0.250 0.250
0.750 0.250 0.750
0.750 0.750 0.250
0.750 0.750 0.750
0.000 0.000 0.500
0.000 0.500 0.000
0.500 0.000 0.000
0.500 0.500 0.500
```



Record 7
Compound: TiCdCo2
Source: the Alexandria database
Functional: GGA-PBE
Structure: relaxed

- symmetry = I-42d (122)
- ΔE_f (eV/f.u.) = 1.39

Structure (POSCAR):
```
TiCdCo2
1.0
6.625 0.000 0.000
0.000 6.625 0.000
0.000 0.000 5.501
Ti Cd Co
4 4 8
Direct
0.000 0.000 0.000
0.000 0.500 0.250
0.500 0.000 0.750
0.500 0.500 0.500
0.000 0.000 0.500
0.000 0.500 0.750
0.500 0.000 0.250
0.500 0.500 0.000
0.215 0.250 0.125
0.250 0.715 0.375
0.250 0.785 0.875
0.285 0.250 0.625
0.715 0.750 0.625
0.750 0.215 0.875
0.750 0.285 0.375
0.785 0.750 0.125
```



Record 8
Compound: Ti2Cd2Co
Source: the Alexandria database
Functional: GGA-PBE
Structure: relaxed

- symmetry = I4/mmm (139)
- ΔE_f (eV/f.u.) = 3.20
- energy above the lowest structure with this stoichiometry (eV per formula unit) = 1.89

Structure (POSCAR):
```
Ti2Cd2Co
1.0
3.714 0.000 0.000
0.000 3.714 0.000
0.000 0.000 14.450
Ti Cd Co
4 4 2
Direct
0.000 0.000 0.078
0.000 0.000 0.922
0.500 0.500 0.422
0.500 0.500 0.578
0.000 0.500 0.250
0.000 0.500 0.750
0.500 0.000 0.250
0.500 0.000 0.750
0.000 0.000 0.500
0.500 0.500 0.000
```



Record 9
Compound: TiCdCo2
Source: the Alexandria database
Functional: GGA-PBE
Structure: relaxed

- symmetry = P4/mmm (123)
- ΔE_f (eV/f.u.) = -0.54

Structure (POSCAR):
```
TiCdCo2
1.0
3.009 0.000 0.000
0.000 3.009 0.000
0.000 0.000 6.174
Ti Cd Co
1 1 2
Direct
0.000 0.000 0.000
0.000 0.000 0.500
0.500 0.500 0.216
0.500 0.500 0.784
```



Record 10
Compound: TiCdCo3
Source: the Alexandria database
Functional: GGA-PBE
Structure: relaxed

- symmetry = Pm-3m (221)
- ΔE_f (eV/f.u.) = 4.42
- energy above the lowest structure with this stoichiometry (eV per formula unit) = 0.00

Structure (POSCAR):
```
TiCdCo3
1.0
4.311 0.000 0.000
0.000 4.311 0.000
0.000 0.000 4.311
Ti Cd Co
1 1 3
Direct
0.000 0.000 0.000
0.500 0.500 0.500
0.000 0.000 0.500
0.000 0.500 0.000
0.500 0.000 0.000
```



Record 11
Compound: TiCdCo2
Source: the Alexandria database
Functional: GGA-PBE
Structure: relaxed

- symmetry = P4/mmm (123)
- ΔE_f (eV/f.u.) = -0.12

Structure (POSCAR):
```
TiCdCo2
1.0
4.120 0.000 0.000
0.000 4.120 0.000
0.000 0.000 3.243
Ti Cd Co
1 1 2
Direct
0.000 0.000 0.000
0.500 0.500 0.000
0.000 0.500 0.500
0.500 0.000 0.500
```



Record 12
Compound: TiCdCo
Source: the Alexandria database
Functional: GGA-PBE
Structure: relaxed

- symmetry = C2/m (12)
- ΔE_f (eV/f.u.) = 0.15

Structure (POSCAR):
```
TiCdCo
1.0
8.358 0.000 0.000
0.000 2.950 0.000
-3.174 0.000 8.353
Ti Cd Co
4 4 4
Direct
0.102 0.000 0.401
0.398 0.500 0.599
0.602 0.500 0.401
0.898 0.000 0.599
0.097 0.500 0.893
0.403 0.000 0.107
0.597 0.000 0.893
0.903 0.500 0.107
0.218 0.000 0.686
0.282 0.500 0.314
0.718 0.500 0.686
0.782 0.000 0.314
```



Listing spin magnetization for the structures above in their given order: 0.3; 3.2; 0.0; 0.0; 0.0; 0.2; 0.0; 1.0; 0.1; 1.0; 0.0; 0.0 μB/cell.